1.
KPm2IrO5 | PBE | optimized geometry

abc: 4.057 5.988 11.173
angles: 90.00 90.00 90.00
Space group Immm (No. 71)
Inequivalent atoms, fractional coordinates:
K (0.000, 0.000, 0.000)
Pm (0.000, 0.500, 0.211)
Ir (0.000, 0.000, 0.500)
O (0.000, 0.223, 0.353)
O (0.000, 0.500, 0.000)

Results
- Formation energy from raw total energies: -2.253 eV/atom
- Fermi-level density of states: 0.17 states/eV/atom
- Uncorrected energy: -7.17 eV/atom

---

2.
K2PmIrO4 | PBE | optimized geometry

abc: 6.280 6.280 7.144
angles: 90.00 90.00 90.00
Space group I-4 (No. 82)
Inequivalent atoms, fractional coordinates:
K (0.000, 0.000, 0.000)
K (0.000, 0.500, 0.250)
Pm (0.000, 0.000, 0.500)
Ir (0.000, 0.500, 0.750)
O (0.152, 0.773, 0.709)

Results
- Formation energy from raw total energies: -1.653 eV/atom
- Fermi-level density of states: 0.61 states/eV/atom
- Uncorrected energy: -6.11 eV/atom

---

3.
K2PmIrO6 | PBE | optimized geometry

abc: 8.467 8.467 8.467
angles: 90.00 90.00 90.00
Space group Fm-3m (No. 225)
Inequivalent atoms, fractional coordinates:
K (0.250, 0.250, 0.250)
Pm (0.000, 0.000, 0.000)
Ir (0.000, 0.000, 0.500)
O (0.000, 0.000, 0.274)

Results
- Formation energy from raw total energies: -1.670 eV/atom
- Fermi-level density of states: 0.59 states/eV/atom
- Uncorrected energy: -6.23 eV/atom

---

4.
K3Pm3IrO8 | PBE | optimized geometry

abc: 6.9766 6.9766 18.8660
angles: 90.00 90.00 120.00
Space group R-3m (No. 166, hexagonal axes)
Inequivalent atoms, fractional coordinates:
K (0.0000, 0.5000, 0.0000)
Pm (0.0000, 0.5000, 0.5000)
Ir (0.0000, 0.0000, 0.5000)
O (0.0000, 0.0000, 0.2299)
O (0.0337, 0.5169, 0.2251)

Results
- Formation energy from raw total energies: -2.218 eV/atom
- Fermi-level density of states: 0.48 states/eV/atom
- Uncorrected energy: -6.62 eV/atom